(1)
DFT (PBE-GGA) results for a relaxed Sc3Mn crystal.

Lattice parameters (Å, degrees): 4.8689 6.3268 5.4642 90.00 90.00 90.00
Atoms (fractional coordinates):
1 Sc 0.2500 0.0018 0.1718
2 Sc 0.2500 0.2500 0.6400
3 Sc 0.2500 0.4982 0.1718
4 Sc 0.7500 0.5018 0.8282
5 Sc 0.7500 0.7500 0.3600
6 Sc 0.7500 0.9982 0.8282
7 Mn 0.2500 0.7500 0.6808
8 Mn 0.7500 0.2500 0.3192

* final energy: -55.741 eV for the cell shown
* DOS(E_F): 4.960 states/eV/f.u.
* space group: Pmmn, No. 59
* energy of formation: 0.0735 eV/atom

(2)
DFT (PBE-GGA) results for a relaxed GaSbPb2 crystal.

Lattice parameters (Å, degrees): 3.3498 3.3498 35.8245 90.00 90.00 120.00
Atoms (fractional coordinates):
1 Ga 0.0000 0.0000 0.0000
2 Ga 0.3333 0.6667 0.6667
3 Ga 0.6667 0.3333 0.3333
4 Sb 0.0000 0.0000 0.5000
5 Sb 0.3333 0.6667 0.1667
6 Sb 0.6667 0.3333 0.8333
7 Pb 0.0000 0.0000 0.0838
8 Pb 0.0000 0.0000 0.9162
9 Pb 0.3333 0.6667 0.5829
10 Pb 0.3333 0.6667 0.7504
11 Pb 0.6667 0.3333 0.2496
12 Pb 0.6667 0.3333 0.4171

* E_form (uncorrected): 0.215 eV/atom
* final energy: -41.123 eV for the cell shown
* DOS(E_F): 2.239 states/eV/f.u.
* ΔE to the lowest computed polymorph: 157 meV/atom
* space group: R-3m, No. 166

(3)
DFT (PBE-GGA) results for a relaxed Be2PbAu9 crystal.

Lattice parameters (Å, degrees): 8.2313 8.2313 3.7490 90.00 90.00 120.00
Atoms (fractional coordinates):
1 Be 0.3333 0.6667 0.0000
2 Be 0.6667 0.3333 0.0000
3 Pb 0.0000 0.0000 0.0000
4 Au 0.0000 0.5000 0.0000
5 Au 0.2048 0.4095 0.5000
6 Au 0.2048 0.7952 0.5000
7 Au 0.4095 0.2048 0.5000
8 Au 0.5000 0.0000 0.0000
9 Au 0.5000 0.5000 0.0000
10 Au 0.5905 0.7952 0.5000
11 Au 0.7952 0.2048 0.5000
12 Au 0.7952 0.5905 0.5000

* final energy: -41.204 eV for the cell shown
* DOS(E_F): 2.081 states/eV/f.u.
* space group: P6/mmm, No. 191
* energy of formation: -0.0456 eV/atom

(4)
DFT (PBE-GGA) results for a relaxed SmEr2Mg9 crystal.

Lattice parameters (Å, degrees): 10.3152 10.3152 10.3152 34.00 34.00 34.00
Atoms (fractional coordinates):
1 Sm 0.0000 0.0000 0.0000
2 Er 0.1440 0.1440 0.1440
3 Er 0.8560 0.8560 0.8560
4 Mg 0.0794 0.5874 0.5874
5 Mg 0.3341 0.3341 0.3341
6 Mg 0.4126 0.4126 0.9206
7 Mg 0.4126 0.9206 0.4126
8 Mg 0.5000 0.5000 0.5000
9 Mg 0.5874 0.0794 0.5874
10 Mg 0.5874 0.5874 0.0794
11 Mg 0.6659 0.6659 0.6659
12 Mg 0.9206 0.4126 0.4126

* final energy: -28.649 eV for the cell shown
* DOS(E_F): 10.653 states/eV/f.u.
* space group: R-3m, No. 166
* energy of formation: -0.0377 eV/atom

(5)
DFT (PBE-GGA) results for a relaxed IrRu2 crystal.

Lattice parameters (Å, degrees): 4.3020 4.3020 2.7029 90.00 90.00 120.00
Atoms (fractional coordinates):
1 Ir 0.0000 0.0000 0.0000
2 Ru 0.3333 0.6667 0.5000
3 Ru 0.6667 0.3333 0.5000

* final energy: -26.650 eV for the cell shown
* DOS(E_F): 4.285 states/eV/f.u.
* ΔE to the lowest computed polymorph: 304 meV/atom
* space group: P6/mmm, No. 191
* energy of formation: 0.2542 eV/atom

(6)
DFT (PBE-GGA) results for a relaxed Pm4DyErSe8 crystal.

Lattice parameters (Å, degrees): 8.5505 8.5505 8.5505 60.09 60.09 60.09
Atoms (fractional coordinates):
1 Pm 0.0000 0.0000 0.0000
2 Pm 0.1280 0.6228 0.6228
3 Pm 0.6228 0.1280 0.6228
4 Pm 0.6228 0.6228 0.1280
5 Dy 0.6231 0.6231 0.6231
6 Er 0.2485 0.2485 0.2485
7 Se 0.3773 0.3773 0.3773
8 Se 0.3832 0.3832 0.8595
9 Se 0.3832 0.8595 0.3832
10 Se 0.4013 0.8612 0.8612
11 Se 0.8595 0.3832 0.3832
12 Se 0.8612 0.4013 0.8612
13 Se 0.8612 0.8612 0.4013
14 Se 0.8669 0.8669 0.8669

* E_form (uncorrected): -1.723 eV/atom
* final energy: -80.171 eV for the cell shown
* DOS(E_F): 8.676 states/eV/f.u.
* space group: R3m, No. 160